No. 1
This record from the Alexandria database describes YMnC2 after structural relaxation. The functional is PBE.

POSCAR file:
```
YMnC2
1.0
3.2556 0.0000 0.0000
1.6278 2.8194 0.0000
1.6278 0.9398 5.1555
Y C Mn
1 2 1
Cartesian
3.2556 1.8796 2.5777
1.6278 0.9398 0.9942
4.8834 2.8194 4.1613
0.0000 0.0000 0.0000
```

Computed properties:
Energy of formation from the pure elements, kJ/mol of formula units: 65

No. 2
This record from the Alexandria database describes AcSmSN after structural relaxation. The functional is PBE.

POSCAR file:
```
AcSmSN
1.0
-1.4836 1.6104 -3.1256
-2.1561 -0.4624 3.1152
3.6807 5.3574 3.3425
Ac Sm S N
1 1 1 1
Cartesian
-1.9361 0.1361 2.8791
1.3710 4.2605 1.1041
-0.8784 3.4569 -0.5716
1.5286 4.7838 3.6287
```

Computed properties:
E_form (uncorrected), eV per atom: -1.56

No. 3
This record from the Alexandria database describes Pa5Ge4Te after structural relaxation. The functional is PBE.

POSCAR file:
```
Pa5Ge4Te
1.0
-1.9111 2.8357 -2.3837
-5.1190 -3.5166 -3.7239
-7.9126 1.6397 4.6500
Pa Ge Te
5 4 1
Cartesian
-10.4360 -1.4681 -0.6686
-4.5068 2.4268 -0.7890
-9.4930 1.4227 2.0142
-6.5158 -0.9384 0.4631
-5.4498 -0.4639 -3.4717
-6.9846 1.9578 0.6397
-3.9921 -0.4421 -0.9699
-10.9507 1.4009 -0.4876
-7.9582 -0.9991 -2.0973
0.0000 0.0000 0.0000
```

Computed properties:
E_form (uncorrected), eV per atom: -0.50

No. 4
This record from the Alexandria database describes TbPm2Pr4Er after structural relaxation. The functional is PBE.

POSCAR file:
```
TbPm2Pr4Er
1.0
-2.0559 -1.9912 4.3424
2.4795 -4.4535 -0.8682
10.5150 -1.0444 4.4995
Tb Pm Pr Er
1 2 4 1
Cartesian
0.2118 -3.2223 1.7371
10.5150 -1.0444 4.4995
4.2295 -1.5178 4.4210
9.7364 -4.1295 2.7162
1.2022 -3.3596 5.2575
3.4628 -4.5956 2.6466
7.4758 -2.8935 5.3271
6.4973 -2.7489 1.8157
```

Computed properties:
Energy of formation from the pure elements, kJ/mol of formula units: 11

No. 5
This record from the Alexandria database describes Pm2AgSn4 after structural relaxation. The functional is PBE.

POSCAR file:
```
Pm2AgSn4
1.0
-2.1523 2.7656 2.9049
-4.0047 -1.6647 -1.3823
0.4525 -6.5270 6.5495
Pm Ag Sn
2 1 4
Cartesian
-0.7252 -3.6786 6.5313
-1.9007 -2.2979 0.7795
-3.0785 0.5505 0.7613
-0.9921 0.1707 2.6688
-1.6339 -6.1472 4.6420
-2.8522 -2.7130 4.0360
0.2263 -3.2635 3.2747
```

Computed properties:
Energy of formation from the pure elements, kJ/mol of formula units: -293

No. 6
This record from the Alexandria database describes LaPm2Al after structural relaxation. The functional is PBE.

POSCAR file:
```
LaPm2Al
1.0
3.6116 0.0000 0.0000
0.0000 3.6116 0.0000
0.0000 0.0000 9.3577
La Al Pm
1 1 2
Cartesian
1.8058 1.8058 4.6789
1.8058 1.8058 0.0000
0.0000 0.0000 7.4014
0.0000 0.0000 1.9563
```

Computed properties:
Energy of formation from the pure elements, kJ/mol of formula units: -63
ΔE to the lowest computed polymorph, meV per atom: 20.3

No. 7
This record from the Alexandria database describes SrVCuSn2 after structural relaxation. The functional is PBE.

POSCAR file:
```
SrVCuSn2
1.0
-4.1090 2.8644 1.0115
-2.9453 -3.5673 -1.8630
-0.3465 -2.1323 4.6308
Sr Sn Cu V
1 2 1 1
Cartesian
-3.7004 -1.4176 1.8897
-0.1732 -1.0662 2.3154
-2.0545 1.4322 0.5057
0.0000 0.0000 0.0000
-1.4727 -1.7836 -0.9315
```

Computed properties:
Energy of formation from the pure elements, kJ/mol of formula units: 124

No. 8
This record from the Alexandria database describes Ac3CdGa2O9 after structural relaxation. The functional is PBE.

POSCAR file:
```
Ac3CdGa2O9
1.0
-2.5687 -2.4595 -4.4888
5.6521 0.9179 -0.0842
1.0809 -6.3914 2.8835
Ac Cd Ga O
3 1 2 9
Cartesian
3.6362 -4.4910 0.3799
0.0000 0.0000 0.0000
0.5281 -3.4421 -2.0694
0.5404 -3.1957 1.4417
3.0820 -1.2141 -1.0985
1.0823 -6.7190 -0.5910
-0.3980 -6.2198 -1.7574
2.2941 -5.7827 -1.7975
0.8255 -5.0484 0.3806
3.3388 -2.8846 -2.0700
1.8702 -2.1504 0.1080
4.5623 -1.7132 0.0679
-1.2843 -1.2297 -2.2444
2.8261 0.4589 -0.0421
1.5417 -0.7708 -2.2865
```

Computed properties:
E_form (uncorrected), eV per atom: -2.34